(1)
Below is a relaxed TiTePb3 crystal, with properties calculated at the PBE-GGA level.

Results
SG: Pm-3m
Raw total energy, eV per cell: -20.7
ΔE to the lowest computed polymorph, meV per atom: 0
Formation energy from raw total energies, kJ/mol of atoms: 27
Magnetization, μB per cell: 0.000

a = 5.486 Å, b = 5.486 Å, c = 5.486 Å
α = 90.00°, β = 90.00°, γ = 90.00°
Sites, in units of the cell vectors:
Te1 0.500 0.500 0.500
Pb1 0.000 0.000 0.500
Ti1 0.000 0.000 0.000
Pb2 0.000 0.500 0.000
Pb3 0.500 0.000 0.000

(2)
Below is a relaxed Cd2TcOs crystal, with properties calculated at the PBE-GGA level.

Results
SG: P4mm
Raw total energy, eV per cell: -22.8
ΔE to the lowest computed polymorph, meV per atom: 0
ΔE_f, eV/f.u.: 0.6
Magnetization, μB per cell: 0.000

a = 2.910 Å, b = 2.910 Å, c = 8.325 Å
α = 90.00°, β = 90.00°, γ = 90.00°
Sites, in units of the cell vectors:
Tc1 0.500 0.500 0.717
Cd1 0.500 0.500 0.274
Os1 0.000 0.000 0.532
Cd2 0.000 0.000 0.976